(1)
Material: Ag2BiPd3
Method: DFT, GGA-PBE
State: relaxed

## Properties
As for the size of the total moment: 0.0 μB/cell. Its space group is No. 63. For the formation energy, the calculation gives -0.030 eV per atom. As for the total DFT energy (no corrections): -4.224 eV per atom. Its crystal system is orthorhombic.

a = 7.948 Å, b = 7.948 Å, c = 5.284 Å
α = 90.00°, β = 90.00°, γ = 138.18°
Fractional coordinates of all 12 atoms:
Ag 0.244 0.244 0.000
Ag 0.244 0.244 0.500
Ag 0.756 0.756 0.000
Ag 0.756 0.756 0.500
Bi 0.329 0.671 0.750
Bi 0.671 0.329 0.250
Pd 0.083 0.422 0.250
Pd 0.154 0.846 0.250
Pd 0.422 0.083 0.750
Pd 0.578 0.917 0.250
Pd 0.846 0.154 0.750
Pd 0.917 0.578 0.750


(2)
Material: AgBi4Pd15
Method: DFT, GGA-PBE
State: relaxed

## Properties
As for the size of the total moment: 0.0 μB/cell. Its space group is No. 123. For the formation energy, the calculation gives -0.212 eV per atom. As for the total DFT energy (no corrections): -5.025 eV per atom. Its crystal system is tetragonal.

a = 4.123 Å, b = 4.123 Å, c = 20.428 Å
α = 90.00°, β = 90.00°, γ = 90.00°
Fractional coordinates of all 20 atoms:
Ag 0.000 0.000 0.000
Bi 0.000 0.000 0.189
Bi 0.000 0.000 0.397
Bi 0.000 0.000 0.603
Bi 0.000 0.000 0.811
Pd 0.000 0.500 0.096
Pd 0.000 0.500 0.298
Pd 0.000 0.500 0.500
Pd 0.000 0.500 0.702
Pd 0.000 0.500 0.904
Pd 0.500 0.000 0.096
Pd 0.500 0.000 0.298
Pd 0.500 0.000 0.500
Pd 0.500 0.000 0.702
Pd 0.500 0.000 0.904
Pd 0.500 0.500 0.000
Pd 0.500 0.500 0.201
Pd 0.500 0.500 0.400
Pd 0.500 0.500 0.600
Pd 0.500 0.500 0.799


(3)
Material: AgBiPd2
Method: DFT, GGA-PBE
State: relaxed

## Properties
As for the size of the total moment: 0.0 μB/cell. Its space group is No. 160. For the formation energy, the calculation gives 0.028 eV per atom. As for the total DFT energy (no corrections): -4.252 eV per atom. Its crystal system is trigonal.

a = 8.616 Å, b = 8.616 Å, c = 8.616 Å
α = 22.10°, β = 22.10°, γ = 22.10°
Fractional coordinates of all 4 atoms:
Ag 0.000 0.000 0.000
Bi 0.167 0.167 0.167
Pd 0.584 0.584 0.584
Pd 0.749 0.749 0.749


(4)
Material: AgBi3Pd4
Method: DFT, GGA-PBE
State: relaxed

## Properties
As for the size of the total moment: 0.0 μB/cell. Its space group is No. 44. For the formation energy, the calculation gives -0.122 eV per atom. As for the total DFT energy (no corrections): -4.530 eV per atom. Its crystal system is orthorhombic.

a = 6.667 Å, b = 6.667 Å, c = 6.667 Å
α = 127.23°, β = 73.95°, γ = 132.18°
Fractional coordinates of all 8 atoms:
Ag 0.000 0.000 0.000
Bi 0.399 0.600 0.799
Bi 0.802 0.600 0.201
Bi 0.884 0.384 0.500
Pd 0.368 0.099 0.270
Pd 0.427 0.168 0.741
Pd 0.427 0.687 0.259
Pd 0.829 0.099 0.730


(5)
Material: AgBiPd2
Method: DFT, GGA-PBE
State: relaxed

## Properties
As for the size of the total moment: 0.0 μB/cell. Its space group is No. 123. For the formation energy, the calculation gives -0.162 eV per atom. As for the total DFT energy (no corrections): -4.441 eV per atom. Its crystal system is tetragonal.

a = 3.522 Å, b = 3.522 Å, c = 6.095 Å
α = 90.00°, β = 90.00°, γ = 90.00°
Fractional coordinates of all 4 atoms:
Ag 0.000 0.000 0.000
Bi 0.000 0.000 0.500
Pd 0.500 0.500 0.241
Pd 0.500 0.500 0.759


(6)
Material: Ag7BiPd4
Method: DFT, GGA-PBE
State: relaxed

## Properties
As for the size of the total moment: 0.0 μB/cell. Its space group is No. 12. For the formation energy, the calculation gives 0.204 eV per atom. As for the total DFT energy (no corrections): -3.514 eV per atom. Its crystal system is monoclinic.

a = 5.840 Å, b = 5.840 Å, c = 9.976 Å
α = 116.46°, β = 116.46°, γ = 52.14°
Fractional coordinates of all 12 atoms:
Ag 0.000 0.000 0.000
Ag 0.154 0.154 0.615
Ag 0.203 0.203 0.910
Ag 0.391 0.391 0.551
Ag 0.609 0.609 0.449
Ag 0.797 0.797 0.090
Ag 0.846 0.846 0.385
Bi 0.500 0.500 0.000
Pd 0.096 0.096 0.313
Pd 0.314 0.314 0.230
Pd 0.686 0.686 0.770
Pd 0.904 0.904 0.687